Record 1
! DyEr5Rh6, relaxed, DFT PBE; values from VASP
&SYSTEM
  ibrav = 0, nat = 12, ntyp = 3
/
ATOMIC_SPECIES
Rh 102.91 Rh.upf
Er 167.26 Er.upf
Dy 162.50 Dy.upf
CELL_PARAMETERS angstrom
-1.5115 0.3389 -4.5347
5.8810 -2.7294 -2.1642
-3.6370 -6.4102 -1.7988
ATOMIC_POSITIONS crystal
Rh 0.5000 0.7484 0.0000
Rh 0.5000 0.2516 0.0000
Rh 0.1671 0.2506 0.6657
Rh 0.8329 0.7494 0.3343
Rh 0.1671 0.7494 0.6657
Rh 0.8329 0.2506 0.3343
Er 0.0000 0.5000 0.0000
Er 0.6670 0.0000 0.6660
Er 0.3333 0.5000 0.3335
Er 0.3330 0.0000 0.3340
Er 0.6667 0.5000 0.6665
Dy 0.0000 0.0000 0.0000
! D(E_F)   6.5 states/eV/cell
! Energy   -6.888 eV per atom
! Space group   Cmmm

Record 2
! DyEr4Rh5, relaxed, DFT PBE; values from VASP
&SYSTEM
  ibrav = 0, nat = 10, ntyp = 3
/
ATOMIC_SPECIES
Er 167.26 Er.upf
Rh 102.91 Rh.upf
Dy 162.50 Dy.upf
CELL_PARAMETERS angstrom
-0.3687 3.2817 -0.6392
-3.0586 -0.0714 1.3978
6.9744 3.7935 15.4546
ATOMIC_POSITIONS crystal
Er 0.0000 0.0000 0.4004
Er 0.0000 0.0000 0.5996
Er 0.0000 0.0000 0.2010
Er 0.0000 0.0000 0.7990
Rh 0.5000 0.5000 0.1019
Rh 0.5000 0.5000 0.3008
Rh 0.5000 0.5000 0.5000
Rh 0.5000 0.5000 0.6992
Rh 0.5000 0.5000 0.8981
Dy 0.0000 0.0000 0.0000
! D(E_F)   5.7 states/eV/cell
! Energy   -6.880 eV per atom
! Space group   P4/mmm

Record 3
! Dy2Er2Rh3, relaxed, DFT PBE; values from VASP
&SYSTEM
  ibrav = 0, nat = 7, ntyp = 3
/
ATOMIC_SPECIES
Dy 162.50 Dy.upf
Rh 102.91 Rh.upf
Er 167.26 Er.upf
CELL_PARAMETERS angstrom
4.8006 -0.0013 -0.0058
-2.3852 7.1003 1.5546
-0.0109 0.5557 4.7371
ATOMIC_POSITIONS crystal
Dy 0.3729 0.7484 0.1268
Dy 0.6271 0.2516 0.8732
Rh 0.7483 0.4968 0.2517
Rh 0.2517 0.5032 0.7483
Rh 0.0000 0.0000 0.0000
Er 0.1279 0.2530 0.3726
Er 0.8721 0.7470 0.6274
! D(E_F)   3.8 states/eV/cell
! Polymorph energy (0 for the lowest one)   36 meV/atom
! Space group   P-1

Record 4
! DyErScRh, relaxed, DFT PBE; values from VASP
&SYSTEM
  ibrav = 0, nat = 4, ntyp = 4
/
ATOMIC_SPECIES
Dy 162.50 Dy.upf
Sc 44.96 Sc.upf
Rh 102.91 Rh.upf
Er 167.26 Er.upf
CELL_PARAMETERS angstrom
-1.6933 4.5854 1.2724
-2.8923 2.6066 -3.2175
-4.9015 0.6934 1.0033
ATOMIC_POSITIONS crystal
Dy 0.2500 0.2500 0.2500
Sc 0.0000 0.0000 0.0000
Rh 0.5000 0.5000 0.5000
Er 0.7500 0.7500 0.7500
! D(E_F)   4.2 states/eV/cell
! Energy   -5.930 eV per atom
! Space group   F-43m

Record 5
! Dy2ErSi2Rh5, relaxed, DFT PBE; values from VASP
&SYSTEM
  ibrav = 0, nat = 20, ntyp = 4
/
ATOMIC_SPECIES
Rh 102.91 Rh.upf
Dy 162.50 Dy.upf
Er 167.26 Er.upf
Si 28.09 Si.upf
CELL_PARAMETERS angstrom
3.5293 0.0000 0.0000
0.0000 9.9591 0.0000
0.0000 0.0000 9.9591
ATOMIC_POSITIONS crystal
Rh 0.5000 0.5000 0.0000
Rh 0.5000 0.2789 0.5701
Rh 0.5000 0.5701 0.7211
Rh 0.5000 0.4299 0.2789
Rh 0.5000 0.0000 0.5000
Rh 0.5000 0.9299 0.2211
Rh 0.5000 0.7211 0.4299
Rh 0.5000 0.2211 0.0701
Rh 0.5000 0.7789 0.9299
Rh 0.5000 0.0701 0.7789
Dy 0.0000 0.6738 0.1738
Dy 0.0000 0.1738 0.3262
Dy 0.0000 0.3262 0.8262
Dy 0.0000 0.8262 0.6738
Er 0.0000 0.5000 0.5000
Er 0.0000 0.0000 0.0000
Si 0.0000 0.1230 0.6230
Si 0.0000 0.6230 0.8770
Si 0.0000 0.8770 0.3770
Si 0.0000 0.3770 0.1230
! D(E_F)   7.7 states/eV/cell
! Energy   -7.152 eV per atom
! Space group   P4/mbm

Record 6
! DyEr2Si2Rh5, relaxed, DFT PBE; values from VASP
&SYSTEM
  ibrav = 0, nat = 20, ntyp = 4
/
ATOMIC_SPECIES
Er 167.26 Er.upf
Rh 102.91 Rh.upf
Si 28.09 Si.upf
Dy 162.50 Dy.upf
CELL_PARAMETERS angstrom
-1.3244 2.8122 -1.6816
-6.6030 -5.8389 -4.5639
-6.4098 1.4315 7.4423
ATOMIC_POSITIONS crystal
Er 0.0000 0.1733 0.3267
Er 0.0000 0.6733 0.1733
Er 0.0000 0.8267 0.6733
Er 0.0000 0.3267 0.8267
Rh 0.5000 0.2212 0.0705
Rh 0.5000 0.5705 0.7212
Rh 0.5000 0.9295 0.2212
Rh 0.5000 0.4295 0.2788
Rh 0.5000 0.7788 0.9295
Rh 0.5000 0.2788 0.5705
Rh 0.5000 0.0705 0.7788
Rh 0.5000 0.7212 0.4295
Rh 0.5000 0.0000 0.5000
Rh 0.5000 0.5000 0.0000
Si 0.0000 0.6234 0.8766
Si 0.0000 0.8766 0.3766
Si 0.0000 0.3766 0.1234
Si 0.0000 0.1234 0.6234
Dy 0.0000 0.0000 0.0000
Dy 0.0000 0.5000 0.5000
! D(E_F)   7.7 states/eV/cell
! Energy   -7.151 eV per atom
! Space group   P4/mbm

Record 7
! DyErSiRh, relaxed, DFT PBE; values from VASP
&SYSTEM
  ibrav = 0, nat = 4, ntyp = 4
/
ATOMIC_SPECIES
Rh 102.91 Rh.upf
Dy 162.50 Dy.upf
Er 167.26 Er.upf
Si 28.09 Si.upf
CELL_PARAMETERS angstrom
4.0991 0.0000 0.0000
0.0000 4.0109 0.0000
-2.0495 0.0000 5.2451
ATOMIC_POSITIONS crystal
Rh 0.4256 0.0000 0.8512
Dy 0.8604 0.5000 0.7208
Er 0.1421 0.0000 0.2843
Si 0.5718 0.5000 0.1437
! D(E_F)   2.5 states/eV/cell
! Energy   -6.345 eV per atom
! Space group   Amm2

Record 8
! DyErSnRh, relaxed, DFT PBE; values from VASP
&SYSTEM
  ibrav = 0, nat = 4, ntyp = 4
/
ATOMIC_SPECIES
Sn 118.71 Sn.upf
Dy 162.50 Dy.upf
Er 167.26 Er.upf
Rh 102.91 Rh.upf
CELL_PARAMETERS angstrom
5.0780 0.0000 0.0000
2.5390 4.3977 0.0000
2.5390 1.4659 4.1462
ATOMIC_POSITIONS crystal
Sn 0.7500 0.7500 0.7500
Dy 0.0000 0.0000 0.0000
Er 0.5000 0.5000 0.5000
Rh 0.2500 0.2500 0.2500
! D(E_F)   2.4 states/eV/cell
! Energy   -5.796 eV per atom
! Space group   F-43m

Record 9
! TbDy2ErRh4, relaxed, DFT PBE; values from VASP
&SYSTEM
  ibrav = 0, nat = 8, ntyp = 4
/
ATOMIC_SPECIES
Rh 102.91 Rh.upf
Tb 158.93 Tb.upf
Dy 162.50 Dy.upf
Er 167.26 Er.upf
CELL_PARAMETERS angstrom
4.8355 0.0000 0.0000
2.4177 4.1876 0.0000
2.4177 1.3959 7.9111
ATOMIC_POSITIONS crystal
Rh 0.8743 0.8743 0.3770
Rh 0.6243 0.6243 0.1271
Rh 0.1257 0.1257 0.6230
Rh 0.3757 0.3757 0.8729
Tb 0.0000 0.0000 0.0000
Dy 0.2495 0.2495 0.2515
Dy 0.7505 0.7505 0.7485
Er 0.5000 0.5000 0.5000
! D(E_F)   3.4 states/eV/cell
! Energy   -6.864 eV per atom
! Space group   R-3m

Record 10
! DyEr2TmRh4, relaxed, DFT PBE; values from VASP
&SYSTEM
  ibrav = 0, nat = 8, ntyp = 4
/
ATOMIC_SPECIES
Rh 102.91 Rh.upf
Er 167.26 Er.upf
Tm 168.93 Tm.upf
Dy 162.50 Dy.upf
CELL_PARAMETERS angstrom
4.8036 0.0000 0.0000
2.4018 4.1600 0.0000
2.4018 1.3867 7.8523
ATOMIC_POSITIONS crystal
Rh 0.6243 0.6243 0.1271
Rh 0.1256 0.1256 0.6231
Rh 0.3757 0.3757 0.8729
Rh 0.8744 0.8744 0.3769
Er 0.2495 0.2495 0.2516
Er 0.7505 0.7505 0.7484
Tm 0.5000 0.5000 0.5000
Dy 0.0000 0.0000 0.0000
! D(E_F)   3.1 states/eV/cell
! Energy   -6.886 eV per atom
! Space group   R-3m